(1)
# Cd12Hg7Pb PBE-GGA optimized geometry
data_Cd12Hg7Pb
_chemical_formula_sum 'Cd36 Hg21 Pb3'
_space_group_name_H-M_alt 'R -3 m'
_space_group_IT_number 166
_space_group_name_Hall '-R 3 2"'
_cell_length_a 11.6887
_cell_length_b 11.6887
_cell_length_c 12.5733
_cell_angle_alpha 90.00
_cell_angle_beta 90.00
_cell_angle_gamma 120.00
loop_
_atom_site_label
_atom_site_type_symbol
_atom_site_fract_x
_atom_site_fract_y
_atom_site_fract_z
Cd1 Cd 0.0000 0.2739 0.0000
Cd2 Cd 0.0319 0.5160 0.1294
Hg1 Hg 0.0000 0.0000 0.5000
Hg2 Hg 0.0874 0.1747 0.7644
Pb1 Pb 0.0000 0.0000 0.0000
# - Offset from the most stable computed form: 0.000 eV per atom


(2)
# Cd2Hg7Pb3 PBE-GGA optimized geometry
data_Cd2Hg7Pb3
_chemical_formula_sum 'Cd2 Hg7 Pb3'
_space_group_name_H-M_alt 'P 1 2/m 1'
_space_group_IT_number 10
_cell_length_a 5.005
_cell_length_b 3.683
_cell_length_c 17.976
_cell_angle_alpha 90.00
_cell_angle_beta 97.79
_cell_angle_gamma 90.00
loop_
_space_group_symop_operation_xyz
'x,y,z'
'-x,-y,-z'
'-x,y,-z'
'x,-y,z'
loop_
_atom_site_label
_atom_site_type_symbol
_atom_site_fract_x
_atom_site_fract_y
_atom_site_fract_z
Cd1 Cd 0.178 0.000 0.291
Hg1 Hg 0.117 0.500 0.151
Hg2 Hg 0.232 0.000 0.457
Hg3 Hg 0.367 0.000 0.810
Hg4 Hg 0.500 0.500 0.000
Pb1 Pb 0.000 0.000 0.000
Pb2 Pb 0.288 0.500 0.631
# - Offset from the most stable computed form: 0.026 eV per atom


(3)
# CdHgPb2 PBE-GGA optimized geometry
data_CdHgPb2
_chemical_formula_sum 'Cd1 Hg1 Pb2'
_space_group_name_H-M_alt 'P 1 m 1'
_space_group_IT_number 6
_cell_length_a 3.474
_cell_length_b 5.132
_cell_length_c 6.507
_cell_angle_alpha 90.00
_cell_angle_beta 104.41
_cell_angle_gamma 90.00
loop_
_space_group_symop_operation_xyz
'x,y,z'
'x,-y,z'
loop_
_atom_site_label
_atom_site_type_symbol
_atom_site_fract_x
_atom_site_fract_y
_atom_site_fract_z
Cd1 Cd 0.000 0.000 0.000
Hg1 Hg 0.174 0.500 0.260
Pb1 Pb 0.412 0.500 0.779
Pb2 Pb 0.773 0.000 0.481
# - Offset from the most stable computed form: 0.007 eV per atom


(4)
# Cd8HgPb3 PBE-GGA optimized geometry
data_Cd8HgPb3
_chemical_formula_sum 'Cd24 Hg3 Pb9'
_space_group_name_H-M_alt 'R 3 m'
_space_group_IT_number 160
_space_group_name_Hall 'R 3 -2"'
_cell_length_a 6.0457
_cell_length_b 6.0457
_cell_length_c 29.1825
_cell_angle_alpha 90.00
_cell_angle_beta 90.00
_cell_angle_gamma 120.00
loop_
_atom_site_label
_atom_site_type_symbol
_atom_site_fract_x
_atom_site_fract_y
_atom_site_fract_z
Cd1 Cd 0.0000 0.0000 0.0000
Cd2 Cd 0.0000 0.0000 0.5001
Cd3 Cd 0.0018 0.5009 0.2510
Cd4 Cd 0.1672 0.3344 0.0823
Hg1 Hg 0.0000 0.0000 0.6867
Pb1 Pb 0.0000 0.0000 0.1842
Pb2 Pb 0.0000 0.0000 0.3129
Pb3 Pb 0.0000 0.0000 0.8131
# - Uncorrected energy: -54.91 eV per cell


(5)
# Cd8Hg5Pb PBE-GGA optimized geometry
data_Cd8Hg5Pb
_chemical_formula_sum 'Cd16 Hg10 Pb2'
_space_group_name_H-M_alt 'I -4'
_space_group_IT_number 82
_cell_length_a 8.860
_cell_length_b 8.860
_cell_length_c 8.955
_cell_angle_alpha 90.00
_cell_angle_beta 90.00
_cell_angle_gamma 90.00
loop_
_space_group_symop_operation_xyz
'x,y,z'
'y,-x,-z'
'-x,-y,z'
'-y,x,-z'
'x+1/2,y+1/2,z+1/2'
'y+1/2,-x+1/2,-z+1/2'
'-x+1/2,-y+1/2,z+1/2'
'-y+1/2,x+1/2,-z+1/2'
loop_
_atom_site_label
_atom_site_type_symbol
_atom_site_fract_x
_atom_site_fract_y
_atom_site_fract_z
Cd1 Cd 0.080 0.335 0.065
Cd2 Cd 0.088 0.155 0.713
Hg1 Hg 0.000 0.000 0.000
Hg2 Hg 0.138 0.241 0.390
Pb1 Pb 0.000 0.500 0.750
# - Uncorrected energy: -24.21 eV per cell


(6)
# Cd4Hg3Pb PBE-GGA optimized geometry
data_Cd4Hg3Pb
_chemical_formula_sum 'Cd8 Hg6 Pb2'
_space_group_name_H-M_alt 'P m n 21'
_space_group_IT_number 31
_cell_length_a 10.148
_cell_length_b 6.311
_cell_length_c 6.298
_cell_angle_alpha 90.00
_cell_angle_beta 90.00
_cell_angle_gamma 90.00
loop_
_space_group_symop_operation_xyz
'x,y,z'
'-x+1/2,-y,z+1/2'
'-x,y,z'
'x+1/2,-y,z+1/2'
loop_
_atom_site_label
_atom_site_type_symbol
_atom_site_fract_x
_atom_site_fract_y
_atom_site_fract_z
Cd1 Cd 0.000 0.057 0.000
Cd2 Cd 0.000 0.560 0.007
Cd3 Cd 0.246 0.765 0.760
Hg1 Hg 0.000 0.992 0.495
Hg2 Hg 0.249 0.258 0.761
Pb1 Pb 0.000 0.491 0.506
# - Offset from the most stable computed form: 0.000 eV per atom


(7)
# Cd6Hg3Pb2 PBE-GGA optimized geometry
data_Cd6Hg3Pb2
_chemical_formula_sum 'Cd6 Hg3 Pb2'
_space_group_name_H-M_alt 'P -6 2 m'
_space_group_IT_number 189
_space_group_name_Hall 'P -6 -2'
_cell_length_a 8.4884
_cell_length_b 8.4884
_cell_length_c 4.6271
_cell_angle_alpha 90.00
_cell_angle_beta 90.00
_cell_angle_gamma 120.00
loop_
_atom_site_label
_atom_site_type_symbol
_atom_site_fract_x
_atom_site_fract_y
_atom_site_fract_z
Cd1 Cd 0.0000 0.2427 0.0000
Cd2 Cd 0.0000 0.7891 0.5000
Hg1 Hg 0.0000 0.5726 0.0000
Pb1 Pb 0.3333 0.6667 0.5000
# - Uncorrected energy: -13.12 eV per cell


(8)
# Cd3Hg2Pb PBE-GGA optimized geometry
data_Cd3Hg2Pb
_chemical_formula_sum 'Cd12 Hg8 Pb4'
_space_group_name_H-M_alt 'I m m m'
_space_group_IT_number 71
_space_group_name_Hall '-I 2 2'
_cell_length_a 4.721
_cell_length_b 9.376
_cell_length_c 14.243
_cell_angle_alpha 90.00
_cell_angle_beta 90.00
_cell_angle_gamma 90.00
loop_
_atom_site_label
_atom_site_type_symbol
_atom_site_fract_x
_atom_site_fract_y
_atom_site_fract_z
Cd1 Cd 0.000 0.157 0.000
Cd2 Cd 0.000 0.287 0.315
Hg1 Hg 0.000 0.000 0.187
Hg2 Hg 0.000 0.159 0.500
Pb1 Pb 0.000 0.500 0.130
# - Offset from the most stable computed form: 0.000 eV per atom


(9)
# Cd5Hg7Pb PBE-GGA optimized geometry
data_Cd5Hg7Pb
_chemical_formula_sum 'Cd10 Hg14 Pb2'
_space_group_name_H-M_alt 'I m m 2'
_space_group_IT_number 44
_cell_length_a 6.116
_cell_length_b 10.596
_cell_length_c 10.330
_cell_angle_alpha 90.00
_cell_angle_beta 90.00
_cell_angle_gamma 90.00
loop_
_space_group_symop_operation_xyz
'x,y,z'
'-x,-y,z'
'-x,y,z'
'x,-y,z'
'x+1/2,y+1/2,z+1/2'
'-x+1/2,-y+1/2,z+1/2'
'-x+1/2,y+1/2,z+1/2'
'x+1/2,-y+1/2,z+1/2'
loop_
_atom_site_label
_atom_site_type_symbol
_atom_site_fract_x
_atom_site_fract_y
_atom_site_fract_z
Cd1 Cd 0.000 0.000 0.000
Cd2 Cd 0.249 0.255 0.996
Hg1 Hg 0.000 0.000 0.491
Hg2 Hg 0.000 0.164 0.749
Hg3 Hg 0.000 0.175 0.242
Hg4 Hg 0.000 0.500 0.208
Hg5 Hg 0.000 0.500 0.522
Pb1 Pb 0.000 0.500 0.841
# - Uncorrected energy: -19.78 eV per cell


(10)
# Cd5Hg2Pb PBE-GGA optimized geometry
data_Cd5Hg2Pb
_chemical_formula_sum 'Cd10 Hg4 Pb2'
_space_group_name_H-M_alt 'I m m m'
_space_group_IT_number 71
_space_group_name_Hall '-I 2 2'
_cell_length_a 3.581
_cell_length_b 9.496
_cell_length_c 11.595
_cell_angle_alpha 90.00
_cell_angle_beta 90.00
_cell_angle_gamma 90.00
loop_
_atom_site_label
_atom_site_type_symbol
_atom_site_fract_x
_atom_site_fract_y
_atom_site_fract_z
Cd1 Cd 0.000 0.000 0.000
Cd2 Cd 0.000 0.276 0.370
Hg1 Hg 0.000 0.000 0.256
Pb1 Pb 0.000 0.500 0.000
# - Offset from the most stable computed form: 0.010 eV per atom


(11)
# Cd5Hg6Pb PBE-GGA optimized geometry
data_Cd5Hg6Pb
_chemical_formula_sum 'Cd10 Hg12 Pb2'
_space_group_name_H-M_alt 'C 1 2/m 1'
_space_group_IT_number 12
_cell_length_a 6.152
_cell_length_b 10.591
_cell_length_c 9.477
_cell_angle_alpha 90.00
_cell_angle_beta 102.22
_cell_angle_gamma 90.00
loop_
_space_group_symop_operation_xyz
'x,y,z'
'-x,-y,-z'
'-x,y,-z'
'x,-y,z'
'x+1/2,y+1/2,z'
'-x+1/2,-y+1/2,-z'
'-x+1/2,y+1/2,-z'
'x+1/2,-y+1/2,z'
loop_
_atom_site_label
_atom_site_type_symbol
_atom_site_fract_x
_atom_site_fract_y
_atom_site_fract_z
Cd1 Cd 0.000 0.000 0.000
Cd2 Cd 0.000 0.173 0.500
Cd3 Cd 0.000 0.346 0.000
Hg1 Hg 0.227 0.000 0.749
Hg2 Hg 0.238 0.175 0.241
Pb1 Pb 0.000 0.500 0.500
# - Offset from the most stable computed form: 0.000 eV per atom


(12)
# Cd5Hg3Pb4 PBE-GGA optimized geometry
data_Cd5Hg3Pb4
_chemical_formula_sum 'Cd5 Hg3 Pb4'
_space_group_name_H-M_alt 'P -1'
_space_group_IT_number 2
_cell_length_a 5.933
_cell_length_b 6.323
_cell_length_c 8.773
_cell_angle_alpha 79.50
_cell_angle_beta 84.76
_cell_angle_gamma 85.07
loop_
_space_group_symop_operation_xyz
'x,y,z'
'-x,-y,-z'
loop_
_atom_site_label
_atom_site_type_symbol
_atom_site_fract_x
_atom_site_fract_y
_atom_site_fract_z
Cd1 Cd 0.000 0.000 0.000
Cd2 Cd 0.229 0.338 0.730
Cd3 Cd 0.472 0.739 0.978
Hg1 Hg 0.000 0.500 0.000
Hg2 Hg 0.304 0.927 0.271
Pb1 Pb 0.212 0.870 0.635
Pb2 Pb 0.267 0.411 0.369
# - Uncorrected energy: -19.90 eV per cell


(13)
# Cd2Hg4Pb5 PBE-GGA optimized geometry
data_Cd2Hg4Pb5
_chemical_formula_sum 'Cd4 Hg8 Pb10'
_space_group_name_H-M_alt 'I m m m'
_space_group_IT_number 71
_space_group_name_Hall '-I 2 2'
_cell_length_a 3.530
_cell_length_b 8.093
_cell_length_c 23.704
_cell_angle_alpha 90.00
_cell_angle_beta 90.00
_cell_angle_gamma 90.00
loop_
_atom_site_label
_atom_site_type_symbol
_atom_site_fract_x
_atom_site_fract_y
_atom_site_fract_z
Cd1 Cd 0.000 0.000 0.113
Hg1 Hg 0.000 0.000 0.405
Hg2 Hg 0.000 0.317 0.000
Pb1 Pb 0.000 0.294 0.193
Pb2 Pb 0.000 0.500 0.500
# - Offset from the most stable computed form: 0.069 eV per atom


(14)
# Cd4HgPb4 PBE-GGA optimized geometry
data_Cd4HgPb4
_chemical_formula_sum 'Cd8 Hg2 Pb8'
_space_group_name_H-M_alt 'I 4/m'
_space_group_IT_number 87
_space_group_name_Hall '-I 4'
_cell_length_a 10.368
_cell_length_b 10.368
_cell_length_c 4.571
_cell_angle_alpha 90.00
_cell_angle_beta 90.00
_cell_angle_gamma 90.00
loop_
_atom_site_label
_atom_site_type_symbol
_atom_site_fract_x
_atom_site_fract_y
_atom_site_fract_z
Cd1 Cd 0.000 0.348 0.000
Hg1 Hg 0.000 0.000 0.000
Pb1 Pb 0.166 0.167 0.500
# - Uncorrected energy: -36.78 eV per cell


(15)
# CdHg8Pb5 PBE-GGA optimized geometry
data_CdHg8Pb5
_chemical_formula_sum 'Cd2 Hg16 Pb10'
_space_group_name_H-M_alt 'C 1 2 1'
_space_group_IT_number 5
_cell_length_a 11.176
_cell_length_b 11.405
_cell_length_c 8.096
_cell_angle_alpha 90.00
_cell_angle_beta 129.04
_cell_angle_gamma 90.00
loop_
_space_group_symop_operation_xyz
'x,y,z'
'-x,y,-z'
'x+1/2,y+1/2,z'
'-x+1/2,y+1/2,-z'
loop_
_atom_site_label
_atom_site_type_symbol
_atom_site_fract_x
_atom_site_fract_y
_atom_site_fract_z
Cd1 Cd 0.000 0.000 0.000
Hg1 Hg 0.046 0.839 0.335
Hg2 Hg 0.110 0.251 0.301
Hg3 Hg 0.176 0.450 0.112
Hg4 Hg 0.199 0.350 0.751
Pb1 Pb 0.000 0.083 0.500
Pb2 Pb 0.121 0.552 0.431
Pb3 Pb 0.239 0.660 0.928
# - Uncorrected energy: -42.26 eV per cell


(16)
# CdHgPb2 PBE-GGA optimized geometry
data_CdHgPb2
_chemical_formula_sum 'Cd4 Hg4 Pb8'
_space_group_name_H-M_alt 'F -4 3 m'
_space_group_IT_number 216
_space_group_name_Hall 'F -4 2 3'
_cell_length_a 7.669
_cell_length_b 7.669
_cell_length_c 7.669
_cell_angle_alpha 90.00
_cell_angle_beta 90.00
_cell_angle_gamma 90.00
loop_
_atom_site_label
_atom_site_type_symbol
_atom_site_fract_x
_atom_site_fract_y
_atom_site_fract_z
Cd1 Cd 0.000 0.000 0.000
Hg1 Hg 0.250 0.250 0.250
Pb1 Pb 0.000 0.000 0.500
Pb2 Pb 0.250 0.250 0.750
# - Offset from the most stable computed form: 0.012 eV per atom


(17)
# Cd3Hg3Pb PBE-GGA optimized geometry
data_Cd3Hg3Pb
_chemical_formula_sum 'Cd6 Hg6 Pb2'
_space_group_name_H-M_alt 'P m -3 n'
_space_group_IT_number 223
_space_group_name_Hall '-P 4n 2 3'
_cell_length_a 7.918
_cell_length_b 7.918
_cell_length_c 7.918
_cell_angle_alpha 90.00
_cell_angle_beta 90.00
_cell_angle_gamma 90.00
loop_
_atom_site_label
_atom_site_type_symbol
_atom_site_fract_x
_atom_site_fract_y
_atom_site_fract_z
Cd1 Cd 0.000 0.250 0.500
Hg1 Hg 0.000 0.500 0.250
Pb1 Pb 0.000 0.000 0.000
# - Offset from the most stable computed form: 0.321 eV per atom


(18)
# Cd9Hg4Pb2 PBE-GGA optimized geometry
data_Cd9Hg4Pb2
_chemical_formula_sum 'Cd9 Hg4 Pb2'
_space_group_name_H-M_alt 'P -3 m 1'
_space_group_IT_number 164
_space_group_name_Hall '-P 3 2"'
_cell_length_a 4.9883
_cell_length_b 4.9883
_cell_length_c 17.7923
_cell_angle_alpha 90.00
_cell_angle_beta 90.00
_cell_angle_gamma 120.00
loop_
_atom_site_label
_atom_site_type_symbol
_atom_site_fract_x
_atom_site_fract_y
_atom_site_fract_z
Cd1 Cd 0.0000 0.0000 0.0000
Cd2 Cd 0.0000 0.0000 0.1739
Cd3 Cd 0.0000 0.0000 0.3455
Cd4 Cd 0.3333 0.6667 0.0595
Cd5 Cd 0.3333 0.6667 0.4453
Hg1 Hg 0.3333 0.6667 0.6101
Hg2 Hg 0.3333 0.6667 0.8726
Pb1 Pb 0.3333 0.6667 0.2576
# - Uncorrected energy: -16.17 eV per cell


(19)
# CdHg5Pb4 PBE-GGA optimized geometry
data_CdHg5Pb4
_chemical_formula_sum 'Cd1 Hg5 Pb4'
_space_group_name_H-M_alt 'P 4/m m m'
_space_group_IT_number 123
_space_group_name_Hall '-P 4 2'
_cell_length_a 3.672
_cell_length_b 3.672
_cell_length_c 20.297
_cell_angle_alpha 90.00
_cell_angle_beta 90.00
_cell_angle_gamma 90.00
loop_
_atom_site_label
_atom_site_type_symbol
_atom_site_fract_x
_atom_site_fract_y
_atom_site_fract_z
Cd1 Cd 0.000 0.000 0.000
Hg1 Hg 0.500 0.500 0.089
Hg2 Hg 0.500 0.500 0.297
Hg3 Hg 0.500 0.500 0.500
Pb1 Pb 0.000 0.000 0.191
Pb2 Pb 0.000 0.000 0.398
# - Uncorrected energy: -16.88 eV per cell


(20)
# Cd7Hg4Pb PBE-GGA optimized geometry
data_Cd7Hg4Pb
_chemical_formula_sum 'Cd7 Hg4 Pb1'
_space_group_name_H-M_alt 'P -3 m 1'
_space_group_IT_number 164
_space_group_name_Hall '-P 3 2"'
_cell_length_a 3.5374
_cell_length_b 3.5374
_cell_length_c 27.6087
_cell_angle_alpha 90.00
_cell_angle_beta 90.00
_cell_angle_gamma 120.00
loop_
_atom_site_label
_atom_site_type_symbol
_atom_site_fract_x
_atom_site_fract_y
_atom_site_fract_z
Cd1 Cd 0.0000 0.0000 0.0000
Cd2 Cd 0.0000 0.0000 0.2454
Cd3 Cd 0.3333 0.6667 0.1636
Cd4 Cd 0.3333 0.6667 0.4084
Hg1 Hg 0.3333 0.6667 0.6727
Hg2 Hg 0.3333 0.6667 0.9183
Pb1 Pb 0.0000 0.0000 0.5000
# - Offset from the most stable computed form: 0.000 eV per atom